1.
VASP calculation (PBE) on a geometry-optimized Tm2PtPb structure.

Lattice parameters (Å, degrees): 3.4791 3.4791 8.0469 90.00 90.00 90.00
Atoms (fractional coordinates):
Tm: 0.0000 0.0000 0.2063
Tm: 0.0000 0.0000 0.7937
Pt: 0.5000 0.5000 0.0000
Pb: 0.5000 0.5000 0.5000

Output
**Crystal system**: tetragonal
**Space-group type**: P4/mmm (123)
**ΔE_f**: -0.856 eV per atom
**Fermi-level density of states**: 0.583 states/eV/atom
**Final energy**: -22.1 eV/cell

---

2.
VASP calculation (PBE) on a geometry-optimized TaTl2Cr structure.

Lattice parameters (Å, degrees): 4.9032 4.9032 4.9032 60.00 60.00 60.00
Atoms (fractional coordinates):
Ta: 0.0000 0.0000 0.0000
Tl: 0.2500 0.2500 0.2500
Tl: 0.5000 0.5000 0.5000
Cr: 0.7500 0.7500 0.7500

Output
**Crystal system**: cubic
**Space-group type**: F-43m (216)
**Distance to the lowest polymorph of the same formula**: 467 meV per atom
**ΔE_f**: 0.959 eV per atom
**Fermi-level density of states**: 0.690 states/eV/atom
**Final energy**: -22.4 eV/cell